No. 1
First-principles (GGA-PBE) data for Tc4PtW after structural relaxation, as listed in the Alexandria database.

Properties
The formation energy is 0.21 eV/atom. As for the calculated density: 13.79 g/cm3. The space group is F-43m (216). Its total magnetization is 0.00 μB/cell.

a = 5.0824 Å, b = 5.0824 Å, c = 5.0824 Å
α = 60.00°, β = 60.00°, γ = 60.00°
Element x y z (fractional)
Tc: 0.3764 0.3764 0.3764
Tc: 0.3764 0.3764 0.8708
Tc: 0.3764 0.8708 0.3764
Tc: 0.8708 0.3764 0.3764
Pt: 0.7500 0.7500 0.7500
W: 0.0000 0.0000 0.0000



No. 2
First-principles (GGA-PBE) data for Ce6Ga2Si after structural relaxation, as listed in the Alexandria database.

Properties
As for the calculated density: 7.57 g/cm3. The space group is Immm (71). The offset from the most stable computed form comes out at 0.0000 eV per atom. Its total magnetization is 4.64 μB/cell. The calculation puts the formation energy without anion corrections at -297 meV/atom.

a = 8.4239 Å, b = 8.4239 Å, c = 8.4239 Å
α = 121.74°, β = 108.01°, γ = 99.49°
Element x y z (fractional)
Ce: 0.0540 0.8284 0.2256
Ce: 0.2425 0.5753 0.3328
Ce: 0.2425 0.9098 0.6672
Ce: 0.2845 0.2680 0.5525
Ce: 0.2845 0.7320 0.0164
Ce: 0.3972 0.1716 0.2256
Ce: 0.6028 0.8284 0.7744
Ce: 0.7155 0.2680 0.9836
Ce: 0.7155 0.7320 0.4475
Ce: 0.7575 0.0902 0.3328
Ce: 0.7575 0.4247 0.6672
Ce: 0.9460 0.1716 0.7744
Ga: 0.0000 0.1546 0.1546
Ga: 0.0000 0.8454 0.8454
Ga: 0.3760 0.3760 0.0000
Ga: 0.6240 0.6240 0.0000
Si: 0.0000 0.5000 0.5000
Si: 0.5000 0.0000 0.5000



No. 3
First-principles (GGA-PBE) data for Y4Ni5 after structural relaxation, as listed in the Alexandria database.

Properties
The formation energy is -0.19 eV/atom. As for the calculated density: 6.34 g/cm3. The space group is P6_3/mcm (193). The offset from the most stable computed form comes out at 0.0000 eV per atom. Its total magnetization is 0.00 μB/cell.

a = 8.1899 Å, b = 8.1899 Å, c = 5.8519 Å
α = 90.00°, β = 90.00°, γ = 120.00°
Element x y z (fractional)
Y: 0.0000 0.0000 0.0000
Y: 0.0000 0.0000 0.5000
Y: 0.0000 0.3772 0.2500
Y: 0.0000 0.6228 0.7500
Y: 0.3772 0.0000 0.2500
Y: 0.3772 0.3772 0.7500
Y: 0.6228 0.0000 0.7500
Y: 0.6228 0.6228 0.2500
Ni: 0.0000 0.2971 0.7500
Ni: 0.0000 0.7029 0.2500
Ni: 0.2971 0.0000 0.7500
Ni: 0.2971 0.2971 0.2500
Ni: 0.3333 0.6667 0.0000
Ni: 0.3333 0.6667 0.5000
Ni: 0.6667 0.3333 0.0000
Ni: 0.6667 0.3333 0.5000
Ni: 0.7029 0.0000 0.2500
Ni: 0.7029 0.7029 0.7500



No. 4
First-principles (GGA-PBE) data for BaSiNi2 after structural relaxation, as listed in the Alexandria database.

Properties
As for the calculated density: 5.98 g/cm3. The space group is F-43m (216). Its total magnetization is 0.00 μB/cell. The calculation puts the formation energy without anion corrections at 644 meV/atom.

a = 6.7963 Å, b = 6.7963 Å, c = 6.7963 Å
α = 90.00°, β = 90.00°, γ = 90.00°
Element x y z (fractional)
Ba: 0.0000 0.0000 0.0000
Ba: 0.0000 0.5000 0.5000
Ba: 0.5000 0.0000 0.5000
Ba: 0.5000 0.5000 0.0000
Si: 0.2500 0.2500 0.2500
Si: 0.2500 0.7500 0.7500
Si: 0.7500 0.2500 0.7500
Si: 0.7500 0.7500 0.2500
Ni: 0.0000 0.0000 0.5000
Ni: 0.0000 0.5000 0.0000
Ni: 0.2500 0.2500 0.7500
Ni: 0.2500 0.7500 0.2500
Ni: 0.5000 0.0000 0.0000
Ni: 0.5000 0.5000 0.5000
Ni: 0.7500 0.2500 0.2500
Ni: 0.7500 0.7500 0.7500



No. 5
First-principles (GGA-PBE) data for NpTlZnTe3 after structural relaxation, as listed in the Alexandria database.

Properties
As for the calculated density: 7.08 g/cm3. The space group is P2_1/m (11). Its total magnetization is 8.01 μB/cell. The calculation puts the formation energy without anion corrections at -486 meV/atom.

a = 9.6557 Å, b = 4.3972 Å, c = 10.2958 Å
α = 90.00°, β = 107.35°, γ = 90.00°
Element x y z (fractional)
Np: 0.1788 0.2500 0.1458
Np: 0.8212 0.7500 0.8542
Tl: 0.2864 0.7500 0.7767
Tl: 0.7136 0.2500 0.2233
Zn: 0.4127 0.7500 0.3921
Zn: 0.5873 0.2500 0.6079
Te: 0.0393 0.2500 0.8315
Te: 0.2934 0.2500 0.4733
Te: 0.4024 0.7500 0.1296
Te: 0.5976 0.2500 0.8704
Te: 0.7066 0.7500 0.5267
Te: 0.9607 0.7500 0.1685



No. 6
First-principles (GGA-PBE) data for Ga2PdRh after structural relaxation, as listed in the Alexandria database.

Properties
The formation energy is -0.48 eV/atom. As for the calculated density: 8.77 g/cm3. The space group is R3m (160). Its total magnetization is 0.00 μB/cell.

a = 3.8362 Å, b = 3.8362 Å, c = 15.5398 Å
α = 90.00°, β = 90.00°, γ = 120.00°
Element x y z (fractional)
Ga: 0.0000 0.0000 0.0000
Ga: 0.0000 0.0000 0.1802
Ga: 0.3333 0.6667 0.6667
Ga: 0.3333 0.6667 0.8469
Ga: 0.6667 0.3333 0.3333
Ga: 0.6667 0.3333 0.5135
Pd: 0.0000 0.0000 0.4150
Pd: 0.3333 0.6667 0.0817
Pd: 0.6667 0.3333 0.7483
Rh: 0.0000 0.0000 0.5984
Rh: 0.3333 0.6667 0.2651
Rh: 0.6667 0.3333 0.9318



No. 7
First-principles (GGA-PBE) data for Zr2ScNi after structural relaxation, as listed in the Alexandria database.

Properties
The formation energy is 0.03 eV/atom. As for the calculated density: 5.62 g/cm3. The space group is I-42d (122). The offset from the most stable computed form comes out at 0.2745 eV per atom. Its total magnetization is 0.00 μB/cell.

a = 7.6935 Å, b = 7.6935 Å, c = 5.7174 Å
α = 90.00°, β = 90.00°, γ = 90.00°
Element x y z (fractional)
Zr: 0.1890 0.2500 0.1250
Zr: 0.2500 0.6890 0.3750
Zr: 0.2500 0.8110 0.8750
Zr: 0.3110 0.2500 0.6250
Zr: 0.6890 0.7500 0.6250
Zr: 0.7500 0.1890 0.8750
Zr: 0.7500 0.3110 0.3750
Zr: 0.8110 0.7500 0.1250
Sc: 0.0000 0.0000 0.5000
Sc: 0.0000 0.5000 0.7500
Sc: 0.5000 0.0000 0.2500
Sc: 0.5000 0.5000 0.0000
Ni: 0.0000 0.0000 0.0000
Ni: 0.0000 0.5000 0.2500
Ni: 0.5000 0.0000 0.7500
Ni: 0.5000 0.5000 0.5000



No. 8
First-principles (GGA-PBE) data for Y2NbC after structural relaxation, as listed in the Alexandria database.

Properties
The formation energy is 0.39 eV/atom. As for the calculated density: 5.28 g/cm3. The space group is R-3m (166). Its total magnetization is 3.23 μB/cell.

a = 3.3945 Å, b = 3.3945 Å, c = 26.7447 Å
α = 90.00°, β = 90.00°, γ = 120.00°
Element x y z (fractional)
Y: 0.0000 0.0000 0.1148
Y: 0.0000 0.0000 0.8852
Y: 0.3333 0.6667 0.5518
Y: 0.3333 0.6667 0.7815
Y: 0.6667 0.3333 0.2185
Y: 0.6667 0.3333 0.4482
Nb: 0.0000 0.0000 0.0000
Nb: 0.3333 0.6667 0.6667
Nb: 0.6667 0.3333 0.3333
C: 0.0000 0.0000 0.5000
C: 0.3333 0.6667 0.1667
C: 0.6667 0.3333 0.8333



No. 9
First-principles (GGA-PBE) data for Cs3U2Se4Cl3 after structural relaxation, as listed in the Alexandria database.

Properties
As for the calculated density: 4.79 g/cm3. The space group is Immm (71). Its total magnetization is 4.00 μB/cell. The calculation puts the formation energy without anion corrections at -1438 meV/atom.

a = 15.2546 Å, b = 15.2546 Å, c = 15.2546 Å
α = 159.24°, β = 159.04°, γ = 29.67°
Element x y z (fractional)
Cs: 0.0000 0.0000 0.0000
Cs: 0.1876 0.1876 0.0000
Cs: 0.8124 0.8124 0.0000
U: 0.4027 0.4027 0.0000
U: 0.5973 0.5973 0.0000
Se: 0.0908 0.5908 0.5000
Se: 0.3136 0.3136 0.0000
Se: 0.6864 0.6864 0.0000
Se: 0.9092 0.4092 0.5000
Cl: 0.4118 0.9118 0.5000
Cl: 0.5000 0.5000 0.0000
Cl: 0.5882 0.0882 0.5000



No. 10
First-principles (GGA-PBE) data for FeSi2Cl after structural relaxation, as listed in the Alexandria database.

Properties
As for the calculated density: 3.42 g/cm3. The space group is I4/mmm (139). The offset from the most stable computed form comes out at 0.4428 eV per atom. Its total magnetization is 6.26 μB/cell. The calculation puts the formation energy without anion corrections at 540 meV/atom.

a = 3.4339 Å, b = 3.4339 Å, c = 12.1600 Å
α = 90.00°, β = 90.00°, γ = 90.00°
Element x y z (fractional)
Fe: 0.0000 0.0000 0.0000
Fe: 0.5000 0.5000 0.5000
Si: 0.0000 0.5000 0.2500
Si: 0.0000 0.5000 0.7500
Si: 0.5000 0.0000 0.2500
Si: 0.5000 0.0000 0.7500
Cl: 0.0000 0.0000 0.5000
Cl: 0.5000 0.5000 0.0000



No. 11
First-principles (GGA-PBE) data for SmMnNiPt3 after structural relaxation, as listed in the Alexandria database.

Properties
The formation energy is -0.37 eV/atom. As for the calculated density: 13.50 g/cm3. The space group is Cmcm (63). Its total magnetization is 7.97 μB/cell.

a = 7.1496 Å, b = 7.1496 Å, c = 5.6410 Å
α = 90.00°, β = 90.00°, γ = 133.56°
Element x y z (fractional)
Sm: 0.1852 0.8148 0.7500
Sm: 0.8148 0.1852 0.2500
Mn: 0.1330 0.8670 0.2500
Mn: 0.8670 0.1330 0.7500
Ni: 0.3797 0.6203 0.7500
Ni: 0.6203 0.3797 0.2500
Pt: 0.2475 0.2475 0.0000
Pt: 0.2475 0.2475 0.5000
Pt: 0.3313 0.6687 0.2500
Pt: 0.6687 0.3313 0.7500
Pt: 0.7525 0.7525 0.0000
Pt: 0.7525 0.7525 0.5000



No. 12
First-principles (GGA-PBE) data for Li6H2O after structural relaxation, as listed in the Alexandria database.

Properties
For the raw total energy, the calculation gives -3.29 eV/atom. As for the calculated density: 0.97 g/cm3. The space group is Pnnm (58). Its total magnetization is 0.00 μB/cell.

a = 4.9094 Å, b = 4.9883 Å, c = 8.3016 Å
α = 90.00°, β = 90.00°, γ = 90.00°
Element x y z (fractional)
Li: 0.2058 0.1782 0.0000
Li: 0.2276 0.6664 0.1578
Li: 0.2276 0.6664 0.8422
Li: 0.2724 0.1664 0.3422
Li: 0.2724 0.1664 0.6578
Li: 0.2942 0.6782 0.5000
Li: 0.7058 0.3218 0.5000
Li: 0.7276 0.8336 0.3422
Li: 0.7276 0.8336 0.6578
Li: 0.7724 0.3336 0.1578
Li: 0.7724 0.3336 0.8422
Li: 0.7942 0.8218 0.0000
H: 0.0000 0.0000 0.1934
H: 0.0000 0.0000 0.8066
H: 0.5000 0.5000 0.3066
H: 0.5000 0.5000 0.6934
O: 0.0000 0.5000 0.0000
O: 0.5000 0.0000 0.5000



Copy entry 5 word for word.
First-principles (GGA-PBE) data for NpTlZnTe3 after structural relaxation, as listed in the Alexandria database.

Properties
As for the calculated density: 7.08 g/cm3. The space group is P2_1/m (11). Its total magnetization is 8.01 μB/cell. The calculation puts the formation energy without anion corrections at -486 meV/atom.

a = 9.6557 Å, b = 4.3972 Å, c = 10.2958 Å
α = 90.00°, β = 107.35°, γ = 90.00°
Element x y z (fractional)
Np: 0.1788 0.2500 0.1458
Np: 0.8212 0.7500 0.8542
Tl: 0.2864 0.7500 0.7767
Tl: 0.7136 0.2500 0.2233
Zn: 0.4127 0.7500 0.3921
Zn: 0.5873 0.2500 0.6079
Te: 0.0393 0.2500 0.8315
Te: 0.2934 0.2500 0.4733
Te: 0.4024 0.7500 0.1296
Te: 0.5976 0.2500 0.8704
Te: 0.7066 0.7500 0.5267
Te: 0.9607 0.7500 0.1685